# PmNdTlZn | Alexandria via LeMat-Bulk | PBE | relaxed
data_PmNdTlZn
_cell_length_a 3.757
_cell_length_b 3.757
_cell_length_c 7.705
_cell_angle_alpha 90.00
_cell_angle_beta 90.00
_cell_angle_gamma 90.00
_space_group_name_H-M_alt 'P 4 m m'
_space_group_IT_number 99
_space_group_name_Hall 'P 4 -2'
loop_
_atom_site_label
_atom_site_fract_x
_atom_site_fract_y
_atom_site_fract_z
_atom_site_occupancy
Pm1 0.000 0.000 0.000 1
Nd1 0.000 0.000 0.545 1
Tl1 0.500 0.500 0.270 1
Zn1 0.500 0.500 0.776 1
# Energy relative to the lowest polymorph listed for this composition = 0.0 meV per atom
# Uncorrected energy = -14.57 eV/cell
# Density of states at the Fermi level = 3.73 states/eV/cell
# Energy of formation = -352 meV per atom